HfSiTc2Te: optimized geometry, GGA-PBE.

**E**: -0.45384 Ry/atom
**Formation energy without anion corrections**: 1.675 eV/atom

a b c (Å): 4.891 4.891 5.417
angles (deg): 90.00 90.00 90.00
Space group P4/mmm (No. 123)
One atom of each set of equivalent atoms:
Hf  0.000  0.000  0.000 (multiplicity 1)
Si  0.500  0.500  0.500 (multiplicity 1)
Tc  0.000  0.500  0.000 (multiplicity 2)
Te  0.000  0.000  0.500 (multiplicity 1)